No. 1
Below is crystalline TiIn3Rh4 at its relaxed geometry, with properties calculated at the GGA-PBE level.

Energy relative to the elements ... -551 meV per atom
Space-group type ... I4/mmm (139)
DOS(E_F) ... 0.43 states/eV per atom
DFT total energy ... -49.92 eV/cell

Lattice parameters (Å, degrees): 4.3285 4.3286 7.6495 106.43 106.42 90.01
Last column: nearest neighbours and their distance in Å.
Sites, in units of the cell vectors:
In (0.2502, 0.7502, 0.5004)  8 Rh 2.83-2.84, 4 In 3.06
Rh (0.3806, 0.3805, 0.7614)  2 Ti 2.73-2.74, 6 In 2.73-2.84, 4 Rh 3.06
Rh (0.6194, 0.6195, 0.2386)  2 Ti 2.73-2.74, 6 In 2.73-2.84, 4 Rh 3.06
Rh (0.8804, 0.8806, 0.7614)  2 Ti 2.73-2.74, 6 In 2.74-2.84, 4 Rh 3.06
In (0.0000, 0.5000, 0.0000)  8 Rh 2.73-2.74, 4 Ti 3.06
In (0.7498, 0.2498, 0.4996)  8 Rh 2.83-2.84, 4 In 3.06
Ti (0.5000, 0.0000, 0.0000)  8 Rh 2.73-2.74, 4 In 3.06
Rh (0.1196, 0.1194, 0.2386)  2 Ti 2.73-2.74, 6 In 2.74-2.84, 4 Rh 3.06

No. 2
Below is crystalline Ti2InRh2 at its relaxed geometry, with properties calculated at the GGA-PBE level.

Energy relative to the elements ... -615 meV per atom
Space-group type ... P4/mbm (127)
DOS(E_F) ... 0.98 states/eV per atom
DFT total energy ... -72.61 eV/cell

Lattice parameters (Å, degrees): 7.4311 7.4311 3.0054 90.00 90.00 90.00
Last column: nearest neighbours and their distance in Å.
Sites, in units of the cell vectors:
Ti (0.8388, 0.3388, 0.5000)  6 Rh 2.63-2.66
Rh (0.1329, 0.3671, 0.0000)  6 Ti 2.63-2.66, 1 Rh 2.79, 2 In 2.90
Ti (0.6612, 0.8388, 0.5000)  6 Rh 2.63-2.66
Ti (0.1612, 0.6612, 0.5000)  6 Rh 2.63-2.66
Rh (0.8671, 0.6329, 0.0000)  6 Ti 2.63-2.66, 1 Rh 2.79, 2 In 2.90
In (0.5000, 0.5000, 0.0000)  4 Rh 2.90, 2 In 3.01, 8 Ti 3.17
In (0.0000, 0.0000, 0.0000)  4 Rh 2.90, 2 In 3.01, 8 Ti 3.17
Ti (0.3388, 0.1612, 0.5000)  6 Rh 2.63-2.66
Rh (0.3671, 0.8671, 0.0000)  6 Ti 2.63-2.66, 1 Rh 2.79, 2 In 2.90
Rh (0.6329, 0.1329, 0.0000)  6 Ti 2.63-2.66, 1 Rh 2.79, 2 In 2.90

No. 3
Below is crystalline Ti2InRh2 at its relaxed geometry, with properties calculated at the GGA-PBE level.

Energy relative to the elements ... -504 meV per atom
Space-group type ... P-3m1 (164)
DOS(E_F) ... 0.48 states/eV per atom
DFT total energy ... -35.75 eV/cell

Lattice parameters (Å, degrees): 4.4441 4.4441 5.2364 90.00 90.00 120.00
Last column: nearest neighbours and their distance in Å.
Sites, in units of the cell vectors:
Ti (0.3333, 0.6667, 0.6637)  4 Rh 2.45-2.67
In (0.0000, 0.0000, 0.0000)  6 Rh 2.76
Rh (0.6667, 0.3333, 0.8035)  4 Ti 2.45-2.67
Rh (0.3333, 0.6667, 0.1965)  4 Ti 2.45-2.67
Ti (0.6667, 0.3333, 0.3363)  4 Rh 2.45-2.67

No. 4
Below is crystalline TiIn4Rh5 at its relaxed geometry, with properties calculated at the GGA-PBE level.

Energy relative to the elements ... -518 meV per atom
Space-group type ... P4/mmm (123)
DOS(E_F) ... 0.45 states/eV per atom
DFT total energy ... -60.79 eV/cell

Lattice parameters (Å, degrees): 3.1533 3.1533 16.6765 90.00 90.00 90.00
Last column: nearest neighbours and their distance in Å.
Sites, in units of the cell vectors:
In (0.0000, 0.0000, 0.6020)  8 Rh 2.80-2.81
Ti (0.0000, 0.0000, 0.0000)  8 Rh 2.66
Rh (0.5000, 0.5000, 0.9131)  4 Ti 2.66, 4 In 2.86, 1 Rh 2.90
In (0.0000, 0.0000, 0.8058)  8 Rh 2.79-2.86
Rh (0.5000, 0.5000, 0.5000)  8 In 2.80
In (0.0000, 0.0000, 0.3980)  8 Rh 2.80-2.81
Rh (0.5000, 0.5000, 0.2952)  8 In 2.79-2.81
In (0.0000, 0.0000, 0.1942)  8 Rh 2.79-2.86
Rh (0.5000, 0.5000, 0.0869)  4 Ti 2.66, 4 In 2.86, 1 Rh 2.90
Rh (0.5000, 0.5000, 0.7048)  8 In 2.79-2.81

No. 5
Below is crystalline TiInRh4 at its relaxed geometry, with properties calculated at the GGA-PBE level.

Energy relative to the elements ... -336 meV per atom
Space-group type ... C2/m (12)
DOS(E_F) ... 1.30 states/eV per atom
DFT total energy ... -42.06 eV/cell

Lattice parameters (Å, degrees): 3.0668 5.4297 6.9175 113.84 77.19 73.60
Last column: nearest neighbours and their distance in Å.
Sites, in units of the cell vectors:
Rh (0.1945, 0.4605, 0.1505)  2 Ti 2.59, 2 In 2.73, 5 Rh 2.73-2.86
Rh (0.3491, 0.9912, 0.3105)  2 Ti 2.61, 2 In 2.76, 3 Rh 2.81-2.86
Rh (0.8055, 0.5395, 0.8495)  2 Ti 2.59, 2 In 2.73, 5 Rh 2.73-2.86
Ti (0.0000, 0.0000, 0.0000)  8 Rh 2.59-2.61
Rh (0.6509, 0.0088, 0.6895)  2 Ti 2.61, 2 In 2.76, 3 Rh 2.81-2.86
In (0.5000, 0.5000, 0.5000)  8 Rh 2.73-2.76

No. 6
Below is crystalline TiInRh at its relaxed geometry, with properties calculated at the GGA-PBE level.

Energy relative to the elements ... -480 meV per atom
Space-group type ... P4/mmm (123)
DOS(E_F) ... 0.52 states/eV per atom
DFT total energy ... -38.85 eV/cell

Lattice parameters (Å, degrees): 3.0152 3.0152 11.3540 90.00 90.00 90.00
Last column: nearest neighbours and their distance in Å.
Sites, in units of the cell vectors:
Ti (0.3056, 0.6944, 0.8063)  4 Rh 2.63
Ti (0.3056, 0.6944, 0.1937)  4 Rh 2.63
Rh (0.8055, 0.1945, 0.3296)  4 Ti 2.63, 4 In 2.88
In (0.8058, 0.1942, 0.0000)  4 In 3.02, 8 Ti 3.06
Rh (0.8055, 0.1945, 0.6704)  4 Ti 2.63, 4 In 2.88
In (0.3054, 0.6946, 0.5000)  8 Rh 2.88, 4 In 3.02

No. 7
Below is crystalline Ti2InRh2 at its relaxed geometry, with properties calculated at the GGA-PBE level.

Energy relative to the elements ... -448 meV per atom
Space-group type ... I4/mmm (139)
DOS(E_F) ... 1.10 states/eV per atom
DFT total energy ... -35.47 eV/cell

Lattice parameters (Å, degrees): 4.1835 4.1835 6.0395 69.74 69.74 90.00
Last column: nearest neighbours and their distance in Å.
Sites, in units of the cell vectors:
In (0.0000, 0.0000, 0.0000)  8 Rh 3.22, 8 Ti 3.36
Ti (0.2500, 0.7500, 0.5000)  4 Rh 2.50
Rh (0.3802, 0.3802, 0.2397)  4 Ti 2.50, 1 Rh 2.52
Rh (0.6198, 0.6198, 0.7603)  4 Ti 2.50, 1 Rh 2.52
Ti (0.7500, 0.2500, 0.5000)  4 Rh 2.50

No. 8
Below is crystalline Tm2Ti2InRh5 at its relaxed geometry, with properties calculated at the GGA-PBE level.

Energy relative to the elements ... -648 meV per atom
Space-group type ... P4/mbm (127)
DOS(E_F) ... 0.33 states/eV per atom
DFT total energy ... -141.42 eV/cell

Lattice parameters (Å, degrees): 3.6309 9.9291 9.9291 90.00 90.00 90.00
Last column: nearest neighbours and their distance in Å.
Sites, in units of the cell vectors:
Rh (0.5000, 0.2891, 0.5669)  2 Ti 2.53
In (0.0000, 0.0000, 0.0000)  8 Rh 2.85
Rh (0.5000, 0.5669, 0.7109)  2 Ti 2.53
Ti (0.0000, 0.8808, 0.3808)  6 Rh 2.47-2.53
Tm (0.0000, 0.3201, 0.8201)  3 Ti 2.82-3.03, 6 Rh 3.11-3.12
Ti (0.0000, 0.6192, 0.8808)  6 Rh 2.47-2.53
Rh (0.5000, 0.5000, 0.0000)  4 Ti 2.47
Tm (0.0000, 0.8201, 0.6799)  3 Ti 2.82-3.03, 6 Rh 3.11-3.12
Rh (0.5000, 0.2109, 0.0669)  2 Ti 2.53
Tm (0.0000, 0.1799, 0.3201)  3 Ti 2.82-3.03, 6 Rh 3.11-3.12
Rh (0.5000, 0.7891, 0.9331)  2 Ti 2.53
In (0.0000, 0.5000, 0.5000)  8 Rh 2.85
Rh (0.5000, 0.9331, 0.2109)  2 Ti 2.53
Rh (0.5000, 0.0669, 0.7891)  2 Ti 2.53
Ti (0.0000, 0.1192, 0.6192)  6 Rh 2.47-2.53
Rh (0.5000, 0.0000, 0.5000)  4 Ti 2.47
Rh (0.5000, 0.7109, 0.4331)  2 Ti 2.53
Tm (0.0000, 0.6799, 0.1799)  3 Ti 2.82-3.03, 6 Rh 3.11-3.12
Ti (0.0000, 0.3808, 0.1192)  6 Rh 2.47-2.53
Rh (0.5000, 0.4331, 0.2891)  2 Ti 2.53

No. 9
Below is crystalline TiInRhW2 at its relaxed geometry, with properties calculated at the GGA-PBE level.

Energy relative to the elements ... 1739 meV per atom
Space-group type ... P4/mmm (123)
DOS(E_F) ... 1.32 states/eV per atom
DFT total energy ... -35.20 eV/cell

Lattice parameters (Å, degrees): 4.5141 5.0030 4.5141 90.00 90.00 90.00
Last column: nearest neighbours and their distance in Å.
Sites, in units of the cell vectors:
W (0.5000, 0.0000, 0.0000)  2 Ti 2.26
In (0.0000, 0.5000, 0.0000)  2 Ti 2.50
Ti (0.0000, 0.0000, 0.0000)  4 W 2.26, 2 In 2.50
Rh (0.5000, 0.5000, 0.5000)  4 In 3.19, 8 W 3.37
W (0.0000, 0.0000, 0.5000)  2 Ti 2.26

No. 10
Below is crystalline TlInRh2 at its relaxed geometry, with properties calculated at the GGA-PBE level.

Energy relative to the elements ... 83 meV per atom
Space-group type ... P4mm (99)
DOS(E_F) ... 0.61 states/eV per atom
DFT total energy ... -19.47 eV/cell

Lattice parameters (Å, degrees): 3.6550 3.6550 5.6374 90.00 90.00 90.00
Last column: nearest neighbours and their distance in Å.
Sites, in units of the cell vectors:
In (0.5000, 0.5000, 0.8035)  6 Rh 2.73-2.91
Tl (0.0000, 0.0000, 0.4503)  6 Rh 2.74-2.86
Rh (0.5000, 0.5000, 0.2880)  2 In 2.73-2.91, 4 Tl 2.74
Rh (0.0000, 0.0000, 0.9582)  4 In 2.73, 2 Tl 2.77-2.86

No. 11
Below is crystalline TlInRh2 at its relaxed geometry, with properties calculated at the GGA-PBE level.

Energy relative to the elements ... 12 meV per atom
Space-group type ... Imm2 (44)
DOS(E_F) ... 0.88 states/eV per atom
DFT total energy ... -19.76 eV/cell

Lattice parameters (Å, degrees): 5.7734 5.7734 5.7734 147.94 134.13 57.06
Last column: nearest neighbours and their distance in Å.
Sites, in units of the cell vectors:
Rh (0.7557, 0.2557, 0.5000)  4 In 2.77, 2 Rh 2.97, 2 Tl 2.98
Tl (0.5074, 0.5074, 0.0000)  6 Rh 2.76-2.98
Rh (0.0024, 0.0024, 0.0000)  4 Tl 2.76, 2 In 2.84, 2 Rh 2.97
In (0.2344, 0.7344, 0.5000)  6 Rh 2.77-2.84

No. 12
Below is crystalline TlIn4Rh5 at its relaxed geometry, with properties calculated at the GGA-PBE level.

Energy relative to the elements ... -320 meV per atom
Space-group type ... P4/mmm (123)
DOS(E_F) ... 0.35 states/eV per atom
DFT total energy ... -53.28 eV/cell

Lattice parameters (Å, degrees): 3.1840 3.1840 16.9778 90.00 90.00 90.00
Last column: nearest neighbours and their distance in Å.
Sites, in units of the cell vectors:
Rh (0.5000, 0.5000, 0.3047)  8 In 2.79-2.82
In (0.0000, 0.0000, 0.2046)  8 Rh 2.78-2.82
Rh (0.5000, 0.5000, 0.5000)  8 In 2.80
Rh (0.5000, 0.5000, 0.8915)  4 In 2.78, 4 Tl 2.91
In (0.0000, 0.0000, 0.5983)  8 Rh 2.79-2.80
In (0.0000, 0.0000, 0.7954)  8 Rh 2.78-2.82
In (0.0000, 0.0000, 0.4017)  8 Rh 2.79-2.80
Rh (0.5000, 0.5000, 0.1085)  4 In 2.78, 4 Tl 2.91
Rh (0.5000, 0.5000, 0.6953)  8 In 2.79-2.82
Tl (0.0000, 0.0000, 0.0000)  8 Rh 2.91, 4 Tl 3.18

No. 13
Below is crystalline Tl2InRh at its relaxed geometry, with properties calculated at the GGA-PBE level.

Energy relative to the elements ... 266 meV per atom
Space-group type ... C2/m (12)
DOS(E_F) ... 0.68 states/eV per atom
DFT total energy ... -13.76 eV/cell

Lattice parameters (Å, degrees): 6.1075 6.1075 3.4062 74.27 74.27 120.51
Last column: nearest neighbours and their distance in Å.
Sites, in units of the cell vectors:
Rh (0.5000, 0.5000, 0.5000)  4 In 3.03-3.08, 4 Tl 3.07
In (0.0000, 0.0000, 0.5000)  4 Rh 3.03-3.08, 4 Tl 3.07
Tl (0.5000, 0.0000, 0.0000)  4 Tl 3.03-3.08, 2 Rh 3.07, 2 In 3.07
Tl (0.0000, 0.5000, 0.0000)  4 Tl 3.03-3.08, 2 In 3.07, 2 Rh 3.07